Record 1
The following is a DFT calculation (PBE-GGA) of an optimized crystal structure of KFeAsSe2.

Properties
Symmetry = P4/mmm
Energy above the lowest structure with this stoichiometry = 1747 meV/atom
Total moment = 3.444 μB per cell

Cell: 5.5384 5.5384 5.3556 Å, 90.00 90.00 90.00°
Closest atoms and distances in Å follow each position.
Positions (direct):
K 0.0000 0.0000 0.0000  2 As 2.68, 4 Se 2.77
As 0.0000 0.0000 0.5000  2 K 2.68
Fe 0.5000 0.5000 0.5000  8 Se 3.85, 4 As 3.92
Se 0.0000 0.5000 0.0000  2 K 2.77
Se 0.5000 0.0000 0.0000  2 K 2.77

---

Record 2
The following is a DFT calculation (PBE-GGA) of an optimized crystal structure of PmPrSmZr.

Properties
Symmetry = F-43m
Total moment = 1.194 μB per cell
Formation enthalpy at 0 K = 0.256 eV/atom

Cell: 5.6009 5.6009 5.6009 Å, 60.00 60.00 60.00°
Closest atoms and distances in Å follow each position.
Positions (direct):
Pr 0.7500 0.7500 0.7500  4 Pm 3.43, 4 Sm 3.43
Zr 0.2500 0.2500 0.2500  4 Pm 3.43, 4 Sm 3.43
Sm 0.5000 0.5000 0.5000  4 Zr 3.43, 4 Pr 3.43
Pm 0.0000 0.0000 0.0000  4 Zr 3.43, 4 Pr 3.43

---

Record 3
The following is a DFT calculation (PBE-GGA) of an optimized crystal structure of Zn2ReP.

Properties
Symmetry = Cm
Total moment = 0.000 μB per cell
Formation enthalpy at 0 K = 0.029 eV/atom

Cell: 4.4719 4.4719 4.6219 Å, 70.12 70.12 42.38°
Closest atoms and distances in Å follow each position.
Positions (direct):
Zn 0.9955 0.9955 0.0319  3 Zn 2.43-2.57, 2 P 2.52
Zn 0.2385 0.2385 0.2027  3 Zn 2.43-2.57
Re 0.7764 0.7764 0.6486  3 P 2.37-2.45
P 0.4896 0.4896 0.6169  3 Re 2.37-2.45, 2 Zn 2.52

---

Record 4
The following is a DFT calculation (PBE-GGA) of an optimized crystal structure of CsLaPu2O7.

Properties
Total energy = -9.066 eV/atom
Symmetry = P4/mmm
Total moment = 6.000 μB per cell

Cell: 4.2908 4.2908 11.2146 Å, 90.00 90.00 90.00°
Closest atoms and distances in Å follow each position.
Positions (direct):
Cs 0.0000 0.0000 0.5000  8 O 3.42
La 0.0000 0.0000 0.0000  8 O 2.70
Pu 0.5000 0.5000 0.1883  2 O 1.91-2.11
Pu 0.5000 0.5000 0.8117  2 O 1.91-2.11
O 0.5000 0.5000 0.6414  1 Pu 1.91
O 0.0000 0.5000 0.1459  2 Pu 2.20
O 0.5000 0.0000 0.1459  2 Pu 2.20
O 0.0000 0.5000 0.8541  2 Pu 2.20
O 0.5000 0.0000 0.8541  2 Pu 2.20
O 0.5000 0.5000 0.3586  1 Pu 1.91
O 0.5000 0.5000 0.0000  2 Pu 2.11

---

Record 5
The following is a DFT calculation (PBE-GGA) of an optimized crystal structure of CuAg2Te2.

Properties
Symmetry = P4/mbm
Energy above the lowest structure with this stoichiometry = 184 meV/atom
Total moment = 0.000 μB per cell

Cell: 7.4833 7.4833 4.2510 Å, 90.00 90.00 90.00°
Closest atoms and distances in Å follow each position.
Positions (direct):
Te 0.3161 0.8161 0.0000  2 Cu 2.74, 2 Ag 2.88
Te 0.8161 0.6839 0.0000  2 Cu 2.74, 2 Ag 2.88
Te 0.6839 0.1839 0.0000  2 Cu 2.74, 2 Ag 2.88
Te 0.1839 0.3161 0.0000  2 Cu 2.74, 2 Ag 2.88
Cu 0.0000 0.0000 0.0000  4 Te 2.74
Cu 0.5000 0.5000 0.0000  4 Te 2.74
Ag 0.1320 0.6320 0.5000  1 Ag 2.79, 2 Te 2.88
Ag 0.6320 0.8680 0.5000  1 Ag 2.79, 2 Te 2.88
Ag 0.8680 0.3680 0.5000  1 Ag 2.79, 2 Te 2.88
Ag 0.3680 0.1320 0.5000  1 Ag 2.79, 2 Te 2.88

---

Record 6
The following is a DFT calculation (PBE-GGA) of an optimized crystal structure of HfTiSb2Pd.

Properties
Total energy = -5.431 eV/atom
Symmetry = P4/mmm
Total moment = 0.000 μB per cell

Cell: 5.3913 4.8519 5.3913 Å, 90.00 90.00 90.00°
Closest atoms and distances in Å follow each position.
Positions (direct):
Sb 0.0000 0.0000 0.5000  2 Hf 2.70
Sb 0.5000 0.0000 0.0000  2 Hf 2.70
Hf 0.0000 0.0000 0.0000  2 Ti 2.43, 4 Sb 2.70
Pd 0.5000 0.5000 0.5000  8 Sb 3.63, 4 Ti 3.81
Ti 0.0000 0.5000 0.0000  2 Hf 2.43

---

Record 7
The following is a DFT calculation (PBE-GGA) of an optimized crystal structure of BaCuPt2.

Properties
Symmetry = Pmm2
Energy above the lowest structure with this stoichiometry = 160 meV/atom
Total moment = 0.000 μB per cell
Formation enthalpy at 0 K = -0.331 eV/atom

Cell: 4.4846 4.9093 4.7350 Å, 89.97 90.00 90.00°
Closest atoms and distances in Å follow each position.
Positions (direct):
Ba 0.0000 0.4816 0.5001  8 Pt 3.36-3.46, 4 Cu 3.53
Cu 0.5000 0.7575 0.9991  4 Pt 2.42-2.53
Pt 0.0000 0.9956 0.0002  2 Cu 2.53, 2 Pt 2.60
Pt 0.5000 0.2653 0.0006  2 Cu 2.42-2.49, 2 Pt 2.60

---

Record 8
The following is a DFT calculation (PBE-GGA) of an optimized crystal structure of TlCrRe2.

Properties
Symmetry = P4mm
Energy above the lowest structure with this stoichiometry = 0 meV/atom
Total moment = 2.628 μB per cell
Formation enthalpy at 0 K = 0.515 eV/atom

Cell: 2.9394 2.9394 7.8311 Å, 90.00 90.00 90.00°
Closest atoms and distances in Å follow each position.
Positions (direct):
Cr 0.5000 0.5000 0.7845  4 Re 2.70, 4 Cr 2.94
Re 0.0000 0.0000 0.0040  8 Re 2.63-2.94, 4 Cr 2.70
Re 0.5000 0.5000 0.2096  8 Re 2.63-2.94
Tl 0.0000 0.0000 0.5020  4 Tl 2.94, 4 Cr 3.04, 4 Re 3.09

---

Record 9
The following is a DFT calculation (PBE-GGA) of an optimized crystal structure of Cs3Na2PuBr9.

Properties
Total energy = -3.887 eV/atom
Symmetry = P-3m1
Total moment = 3.937 μB per cell

Cell: 8.2271 8.2271 10.1226 Å, 90.00 90.00 120.00°
Closest atoms and distances in Å follow each position.
Positions (direct):
Cs 0.3333 0.6667 0.7247  3 Br 3.66
Cs 0.0000 0.0000 0.0000  12 Br 4.11-4.14
Cs 0.6667 0.3333 0.2753  3 Br 3.66
Na 0.3333 0.6667 0.1477  3 Br 2.81
Na 0.6667 0.3333 0.8523  3 Br 2.81
Pu 0.0000 0.0000 0.5000  6 Br 2.77
Br 0.8412 0.1588 0.6570  1 Pu 2.77
Br 0.8412 0.6823 0.6570  1 Pu 2.77
Br 0.3177 0.1588 0.6570  1 Pu 2.77
Br 0.6823 0.8412 0.3430  1 Pu 2.77
Br 0.1588 0.3177 0.3430  1 Pu 2.77
Br 0.1588 0.8412 0.3430  1 Pu 2.77
Br 0.5000 0.0000 0.0000  2 Na 2.81
Br 0.0000 0.5000 0.0000  2 Na 2.81
Br 0.5000 0.5000 0.0000  2 Na 2.81

---

Record 10
The following is a DFT calculation (PBE-GGA) of an optimized crystal structure of CuTc.

Properties
Symmetry = P6_3/mmc
Energy above the lowest structure with this stoichiometry = 1012 meV/atom
Total moment = 0.551 μB per cell
Formation enthalpy at 0 K = 1.105 eV/atom

Cell: 3.7998 3.7998 4.7773 Å, 90.00 90.00 120.00°
Closest atoms and distances in Å follow each position.
Positions (direct):
Cu 0.0000 0.0000 0.0000  2 Cu 2.39, 6 Tc 2.50
Cu 0.0000 0.0000 0.5000  2 Cu 2.39, 6 Tc 2.50
Tc 0.3333 0.6667 0.2500  6 Cu 2.50
Tc 0.6667 0.3333 0.7500  6 Cu 2.50

---

Record 11
The following is a DFT calculation (PBE-GGA) of an optimized crystal structure of Li2NdGaGe2.

Properties
Symmetry = Pmc2_1
Total moment = 0.000 μB per cell
Formation enthalpy at 0 K = -0.497 eV/atom

Cell: 4.1806 7.3339 7.9970 Å, 90.00 90.00 90.00°
Closest atoms and distances in Å follow each position.
Positions (direct):
Li 0.5000 0.0418 0.0675  5 Ge 2.93-3.15, 1 Ga 3.07, 4 Li 3.09-3.26
Li 0.0000 0.3648 0.1668  4 Ge 2.62-2.69
Li 0.5000 0.5418 0.9325  5 Ge 2.93-3.15, 1 Ga 3.07, 4 Li 3.09-3.26
Li 0.0000 0.8648 0.8332  4 Ge 2.62-2.69
Nd 0.0000 0.9876 0.4273  5 Ge 3.00-3.09, 2 Ga 3.20
Nd 0.0000 0.4876 0.5727  5 Ge 3.00-3.09, 2 Ga 3.20
Ga 0.5000 0.1439 0.6949  4 Ge 2.56-2.83
Ga 0.5000 0.6439 0.3051  4 Ge 2.56-2.83
Ge 0.0000 0.2295 0.8633  2 Ga 2.56, 2 Li 2.62-2.69
Ge 0.5000 0.2779 0.3630  3 Li 2.69-2.93, 2 Ga 2.72-2.83
Ge 0.0000 0.7295 0.1367  2 Ga 2.56, 2 Li 2.62-2.69
Ge 0.5000 0.7779 0.6370  3 Li 2.69-2.93, 2 Ga 2.72-2.83

---

Record 12
The following is a DFT calculation (PBE-GGA) of an optimized crystal structure of KFePb2Br8.

Properties
Total energy = -3.372 eV/atom
Symmetry = P-1
Total moment = 5.021 μB per cell

Cell: 7.0591 6.6668 9.0244 Å, 89.84 90.05 88.29°
Closest atoms and distances in Å follow each position.
Positions (direct):
K 0.0000 0.0000 0.5000  6 Br 3.19-3.24
Fe 0.0000 0.0000 0.0000  6 Br 2.55-2.67
Pb 0.5007 0.4997 0.7602  6 Br 2.98-3.18
Pb 0.4993 0.5003 0.2398  6 Br 2.98-3.18
Br 0.1430 0.7720 0.2015  1 Fe 2.55
Br 0.6906 0.7787 0.9993  1 Fe 2.67
Br 0.8556 0.2261 0.2000  1 Fe 2.55
Br 0.8570 0.2280 0.7985  1 Fe 2.55
Br 0.3094 0.2213 0.0007  1 Fe 2.67
Br 0.1444 0.7739 0.8000  1 Fe 2.55
Br 0.6331 0.7322 0.4998  2 Pb 2.98, 1 K 3.19
Br 0.3669 0.2678 0.5002  2 Pb 2.98, 1 K 3.19